This record from the Alexandria database describes a relaxed SrTl2Se2 crystal. The functional is PBE-GGA.

Summary:
- Excess energy over the best structure of this formula in the dataset: 306 meV/atom
- ΔE_f (raw): -3.750 eV per formula unit

Lattice parameters (Å, degrees): 8.3936 8.3936 4.6752 90.00 90.00 90.00
With the nearest neighbours (Å) after each atom.
Space group P4/mbm (No. 127)
Unique sites:
Sr1 0.0000 0.0000 0.0000 [2 per cell]  4 Se 3.07
Tl1 0.1317 0.3683 0.5000 [4 per cell]  1 Tl 3.13, 2 Se 3.21
Se1 0.1833 0.6833 0.0000 [4 per cell]  2 Sr 3.07, 2 Tl 3.21

=====

This record from the Alexandria database describes a relaxed Sr2TlSe crystal. The functional is PBE-GGA.

Summary:
- Excess energy over the best structure of this formula in the dataset: 494 meV/atom
- ΔE_f (raw): -2.419 eV per formula unit

Lattice parameters (Å, degrees): 4.4148 4.4148 29.4994 90.00 90.00 120.00
With the nearest neighbours (Å) after each atom.
Space group R3m (No. 160, hexagonal axes)
Unique sites:
Sr1 0.0000 0.0000 0.0000 [3 per cell]  3 Se 3.01
Sr2 0.0000 0.0000 0.2102 [3 per cell]  3 Tl 3.67
Tl1 0.0000 0.0000 0.4540 [3 per cell]  3 Se 3.21
Se1 0.0000 0.0000 0.7210 [3 per cell]  3 Sr 3.01, 3 Tl 3.21

=====

This record from the Alexandria database describes a relaxed Sr2TlSe crystal. The functional is PBE-GGA.

Summary:
- Excess energy over the best structure of this formula in the dataset: 185 meV/atom
- ΔE_f (raw): -3.654 eV per formula unit

Lattice parameters (Å, degrees): 4.6370 4.6370 6.6059 90.00 90.00 90.00
With the nearest neighbours (Å) after each atom.
Space group P4mm (No. 99)
Unique sites:
Sr1 0.0000 0.0000 0.0000 [1 per cell]  4 Se 3.28, 2 Tl 3.30
Sr2 0.5000 0.5000 0.4993 [1 per cell]  4 Tl 3.28, 2 Se 3.30-3.31
Tl1 0.0000 0.0000 0.5003 [1 per cell]  6 Sr 3.28-3.30
Se1 0.5000 0.5000 0.0002 [1 per cell]  6 Sr 3.28-3.31

=====

This record from the Alexandria database describes a relaxed SrTlSe2 crystal. The functional is PBE-GGA.

Summary:
- ΔE_f (raw): -3.872 eV per formula unit

Lattice parameters (Å, degrees): 6.6674 6.6674 14.4312 90.00 90.00 90.00
With the nearest neighbours (Å) after each atom.
Space group I-42d (No. 122)
Unique sites:
Sr1 0.0000 0.0000 0.0000 [4 per cell]  4 Se 3.04
Tl1 0.0000 0.0000 0.5000 [4 per cell]  4 Se 2.90
Se1 0.2321 0.2500 0.6250 [8 per cell]  2 Tl 2.90, 2 Sr 3.04

=====

Total magnetic moment across the listed records, respectively: 0.00; 0.42; 0.27; 0.00 μB per formula unit.